No. 1
# PBE ScCr2CdHg, relaxed
data_ScCr2CdHg
_chemical_formula_sum 'Sc1 Cr2 Cd1 Hg1'
_space_group_name_H-M_alt 'P 4/m m m'
_space_group_IT_number 123
_space_group_name_Hall '-P 4 2'
_cell_length_a 5.077
_cell_length_b 5.077
_cell_length_c 5.136
_cell_angle_alpha 90.00
_cell_angle_beta 90.00
_cell_angle_gamma 90.00
loop_
_atom_site_label
_atom_site_type_symbol
_atom_site_fract_x
_atom_site_fract_y
_atom_site_fract_z
Sc1 Sc 0.000 0.000 0.000
Cr1 Cr 0.000 0.500 0.500
Cd1 Cd 0.500 0.500 0.500
Hg1 Hg 0.500 0.500 0.000
# energy relative to the elements	1.132	eV/atom

---

No. 2
# PBE CaCo2Hg, relaxed
data_CaCo2Hg
_chemical_formula_sum 'Ca3 Co6 Hg3'
_space_group_name_H-M_alt 'R -3 m'
_space_group_IT_number 166
_space_group_name_Hall '-R 3 2"'
_cell_length_a 3.0893
_cell_length_b 3.0893
_cell_length_c 26.4648
_cell_angle_alpha 90.00
_cell_angle_beta 90.00
_cell_angle_gamma 120.00
loop_
_atom_site_label
_atom_site_type_symbol
_atom_site_fract_x
_atom_site_fract_y
_atom_site_fract_z
Ca1 Ca 0.0000 0.0000 0.0000
Co1 Co 0.0000 0.0000 0.2458
Hg1 Hg 0.0000 0.0000 0.5000
# energy relative to the elements	0.704	eV/atom

---

No. 3
# PBE Tb2Tm3Al3, relaxed
data_Tb2Tm3Al3
_chemical_formula_sum 'Tb4 Tm6 Al6'
_space_group_name_H-M_alt 'I m m m'
_space_group_IT_number 71
_space_group_name_Hall '-I 2 2'
_cell_length_a 3.641
_cell_length_b 5.092
_cell_length_c 21.437
_cell_angle_alpha 90.00
_cell_angle_beta 90.00
_cell_angle_gamma 90.00
loop_
_atom_site_label
_atom_site_type_symbol
_atom_site_fract_x
_atom_site_fract_y
_atom_site_fract_z
Tb1 Tb 0.000 0.000 0.230
Tm1 Tm 0.000 0.000 0.000
Tm2 Tm 0.000 0.500 0.119
Al1 Al 0.000 0.000 0.500
Al2 Al 0.000 0.500 0.386
# energy relative to the lowest polymorph listed for this composition	0.000	eV/atom
# energy relative to the elements	-0.288	eV/atom

---

No. 4
# PBE LaAgPb, relaxed
data_LaAgPb
_chemical_formula_sum 'La1 Ag1 Pb1'
_space_group_name_H-M_alt 'P 3 m 1'
_space_group_IT_number 156
_cell_length_a 5.0206
_cell_length_b 5.0206
_cell_length_c 3.7803
_cell_angle_alpha 90.00
_cell_angle_beta 90.00
_cell_angle_gamma 120.00
loop_
_space_group_symop_operation_xyz
'x,y,z'
'-y,x-y,z'
'-x+y,-x,z'
'-y,-x,z'
'-x+y,y,z'
'x,x-y,z'
loop_
_atom_site_label
_atom_site_type_symbol
_atom_site_fract_x
_atom_site_fract_y
_atom_site_fract_z
La1 La 0.0000 0.0000 0.0000
Ag1 Ag 0.3333 0.6667 0.5008
Pb1 Pb 0.6667 0.3333 0.4988
# energy relative to the elements	-0.430	eV/atom

---

No. 5
# PBE Cr2IrRh, relaxed
data_Cr2IrRh
_chemical_formula_sum 'Cr2 Ir1 Rh1'
_space_group_name_H-M_alt 'P 4/m m m'
_space_group_IT_number 123
_space_group_name_Hall '-P 4 2'
_cell_length_a 2.659
_cell_length_b 2.659
_cell_length_c 7.401
_cell_angle_alpha 90.00
_cell_angle_beta 90.00
_cell_angle_gamma 90.00
loop_
_atom_site_label
_atom_site_type_symbol
_atom_site_fract_x
_atom_site_fract_y
_atom_site_fract_z
Cr1 Cr 0.000 0.000 0.250
Ir1 Ir 0.500 0.500 0.000
Rh1 Rh 0.500 0.500 0.500
# energy relative to the elements	-0.112	eV/atom

---

No. 6
# PBE KZr3W, relaxed
data_KZr3W
_chemical_formula_sum 'K1 Zr3 W1'
_space_group_name_H-M_alt 'P m -3 m'
_space_group_IT_number 221
_space_group_name_Hall '-P 4 2 3'
_cell_length_a 4.783
_cell_length_b 4.783
_cell_length_c 4.783
_cell_angle_alpha 90.00
_cell_angle_beta 90.00
_cell_angle_gamma 90.00
loop_
_atom_site_label
_atom_site_type_symbol
_atom_site_fract_x
_atom_site_fract_y
_atom_site_fract_z
K1 K 0.000 0.000 0.000
Zr1 Zr 0.000 0.000 0.500
W1 W 0.500 0.500 0.500
# energy relative to the lowest polymorph listed for this composition	1.429	eV/atom
# energy relative to the elements	2.344	eV/atom